First-principles (PBE-GGA) data for a relaxed structure of K2Li2SbS4, as listed in Alexandria via LeMat-Bulk.

CIF file:
```
data_K2Li2SbS4
_cell_length_a 3.9790
_cell_length_b 7.6038
_cell_length_c 7.5322
_cell_angle_alpha 110.04
_cell_angle_beta 90.00
_cell_angle_gamma 105.17
_space_group_name_H-M_alt 'P 1'
_space_group_IT_number 1
_space_group_name_Hall 'P 1'
loop_
_atom_site_label
_atom_site_fract_x
_atom_site_fract_y
_atom_site_fract_z
K1 0.8598 0.7195 0.4468
K2 0.1402 0.2805 0.5532
Li1 0.3173 0.6346 0.0103
Li2 0.6827 0.3654 0.9897
Sb1 0.0000 0.0000 0.0000
S1 0.8058 0.6117 0.8286
S2 0.1942 0.3883 0.1714
S3 0.4831 0.9663 0.2324
S4 0.5169 0.0337 0.7676
```

The value obtained for the total magnetization is 0.0 μB per formula unit. The value obtained for the total energy is -35.02 eV for the cell shown. The uncorrected formation energy comes out at -0.929 eV per atom. Its space group is C2/m (12).